Entry a
First-principles (PBE-GGA) data for a relaxed Mn2SnAu2 crystal, as listed in the Alexandria database.

Unit cell a=3.174 b=3.174 c=17.293 alpha=90.00 beta=90.00 gamma=90.00
Element x y z (fractional)
Mn1 0.000 0.500 0.250
Mn2 0.000 0.500 0.750
Mn3 0.500 0.000 0.250
Mn4 0.500 0.000 0.750
Sn1 0.000 0.000 0.000
Sn2 0.500 0.500 0.500
Au1 0.000 0.000 0.378
Au2 0.000 0.000 0.622
Au3 0.500 0.500 0.122
Au4 0.500 0.500 0.878

Calculated values
Calculated volume in A^3/atom: 17.42

=====

Entry b
First-principles (PBE-GGA) data for a relaxed Mn2SnAu2 crystal, as listed in the Alexandria database.

Unit cell a=7.466 b=7.466 c=3.334 alpha=90.00 beta=90.00 gamma=90.00
Element x y z (fractional)
Mn1 0.148 0.352 0.000
Mn2 0.352 0.852 0.000
Mn3 0.648 0.148 0.000
Mn4 0.852 0.648 0.000
Sn1 0.000 0.000 0.000
Sn2 0.500 0.500 0.000
Au1 0.144 0.644 0.500
Au2 0.356 0.144 0.500
Au3 0.644 0.856 0.500
Au4 0.856 0.356 0.500

Calculated values
Calculated volume in A^3/atom: 18.59

=====

entry b has the most favorable energy; the next structure is 31.5 kJ/mol of atoms above.

=====

Entry a
First-principles (PBE-GGA) data for a relaxed Ta2MnAu crystal, as listed in the Alexandria database.

Unit cell a=3.668 b=4.250 c=8.422 alpha=90.00 beta=90.00 gamma=90.00
Element x y z (fractional)
Ta1 0.000 0.000 0.240
Ta2 0.000 0.000 0.760
Ta3 0.500 0.500 0.260
Ta4 0.500 0.500 0.740
Mn1 0.000 0.500 0.500
Mn2 0.500 0.000 0.000
Au1 0.000 0.500 0.000
Au2 0.500 0.000 0.500

Calculated values
Calculated volume in A^3/atom: 16.41

=====

Entry b
First-principles (PBE-GGA) data for a relaxed Ta2MnAu crystal, as listed in the Alexandria database.

Unit cell a=6.435 b=6.435 c=6.435 alpha=90.00 beta=90.00 gamma=90.00
Element x y z (fractional)
Ta1 0.000 0.000 0.000
Ta2 0.000 0.500 0.500
Ta3 0.250 0.250 0.250
Ta4 0.250 0.750 0.750
Ta5 0.500 0.000 0.500
Ta6 0.500 0.500 0.000
Ta7 0.750 0.250 0.750
Ta8 0.750 0.750 0.250
Mn1 0.250 0.250 0.750
Mn2 0.250 0.750 0.250
Mn3 0.750 0.250 0.250
Mn4 0.750 0.750 0.750
Au1 0.000 0.000 0.500
Au2 0.000 0.500 0.000
Au3 0.500 0.000 0.000
Au4 0.500 0.500 0.500

Calculated values
Calculated volume in A^3/atom: 16.66

=====

entry a has the most favorable energy; the next structure is 17.5 kJ/mol of atoms above.

=====

Entry a
First-principles (PBE-GGA) data for a relaxed TaMnAu crystal, as listed in the Alexandria database.

Unit cell a=3.318 b=3.318 c=8.835 alpha=90.00 beta=90.00 gamma=90.00
Element x y z (fractional)
Ta1 0.000 0.000 0.000
Ta2 0.500 0.500 0.500
Mn1 0.000 0.000 0.645
Mn2 0.500 0.500 0.145
Au1 0.000 0.000 0.318
Au2 0.500 0.500 0.818

Calculated values
Calculated volume in A^3/atom: 16.21

=====

Entry b
First-principles (PBE-GGA) data for a relaxed TaMnAu crystal, as listed in the Alexandria database.

Unit cell a=2.848 b=2.848 c=12.225 alpha=90.00 beta=90.00 gamma=90.00
Element x y z (fractional)
Ta1 0.000 0.000 0.000
Ta2 0.500 0.500 0.500
Mn1 0.000 0.000 0.658
Mn2 0.500 0.500 0.158
Au1 0.000 0.000 0.323
Au2 0.500 0.500 0.823

Calculated values
Calculated volume in A^3/atom: 16.52

=====

Entry c
First-principles (PBE-GGA) data for a relaxed TaMnAu crystal, as listed in the Alexandria database.

Unit cell a=2.933 b=2.933 c=6.843 alpha=90.00 beta=90.00 gamma=120.00
Element x y z (fractional)
Ta1 0.000 0.000 0.000
Mn1 0.333 0.667 0.680
Au1 0.667 0.333 0.353

Calculated values
Calculated volume in A^3/atom: 16.99

=====

Entry d
First-principles (PBE-GGA) data for a relaxed TaMnAu crystal, as listed in the Alexandria database.

Unit cell a=6.012 b=6.012 c=6.012 alpha=90.00 beta=90.00 gamma=90.00
Element x y z (fractional)
Ta1 0.000 0.000 0.000
Ta2 0.000 0.500 0.500
Ta3 0.500 0.000 0.500
Ta4 0.500 0.500 0.000
Mn1 0.250 0.250 0.250
Mn2 0.250 0.750 0.750
Mn3 0.750 0.250 0.750
Mn4 0.750 0.750 0.250
Au1 0.000 0.000 0.500
Au2 0.000 0.500 0.000
Au3 0.500 0.000 0.000
Au4 0.500 0.500 0.500

Calculated values
Calculated volume in A^3/atom: 18.11

=====

entry a has the most favorable energy; the next structure is 2.1 kJ/mol of atoms above.

=====

Entry a
First-principles (PBE-GGA) data for a relaxed Ta3MnAu crystal, as listed in the Alexandria database.

Unit cell a=4.942 b=4.942 c=4.942 alpha=90.00 beta=90.00 gamma=90.00
Element x y z (fractional)
Ta1 0.000 0.000 0.500
Ta2 0.000 0.500 0.000
Ta3 0.500 0.000 0.000
Mn1 0.500 0.500 0.500
Au1 0.000 0.000 0.000

Calculated values
Calculated volume in A^3/atom: 24.14

=====

Entry b
First-principles (PBE-GGA) data for a relaxed Ta3MnAu crystal, as listed in the Alexandria database.

Unit cell a=4.572 b=4.572 c=4.572 alpha=90.00 beta=90.00 gamma=90.00
Element x y z (fractional)
Ta1 0.000 0.000 0.500
Ta2 0.000 0.500 0.000
Ta3 0.500 0.000 0.000
Mn1 0.000 0.000 0.000
Au1 0.500 0.500 0.500

Calculated values
Calculated volume in A^3/atom: 19.12

=====

entry b has the most favorable energy; the next structure is 112.4 kJ/mol of atoms above.